## VCu2Cl2 (GGA-PBE)

Data for a relaxed VCu2Cl2 crystal.

Cell: 3.259 3.259 10.269 Å, 80.87 80.87 90.00°
Last column: magnetic moment on the atom in μB.
Element x y z (fractional)
Cl 0.427 0.427 0.146  -0.05
Cl 0.573 0.573 0.854  -0.05
Cu 0.250 0.750 0.500  0.00
Cu 0.750 0.250 0.500  0.00
V 0.000 0.000 0.000  2.69

Summary:
* raw formation energy: 0.051 eV per atom
* total magnetic moment: 3.0 μB/f.u.
* energy above the most stable polymorph in this dataset: 0.000 eV/atom
* density: 3.89 g/cm³